VASP calculation (PBE-GGA) on a relaxed AlMoPd6 crystal.

Output
- formation enthalpy at 0 K (eV/atom) = -0.3247
- SG = P4/mmm
- mass density (kg/m3) = 10453

Unit cell a=3.9207 b=3.9207 c=7.8686 alpha=90.00 beta=90.00 gamma=90.00
Closest atoms and distances in Å follow each position.
Fractional coordinates of all 8 atoms:
1 Al 0.0000 0.0000 0.0000  12 Pd 2.77-2.79
2 Mo 0.0000 0.0000 0.5000  12 Pd 2.77
3 Pd 0.5000 0.5000 0.0000  4 Al 2.77, 8 Pd 2.79
4 Pd 0.5000 0.5000 0.5000  8 Pd 2.77, 4 Mo 2.77
5 Pd 0.5000 0.0000 0.2517  8 Pd 2.77-2.79, 2 Mo 2.77, 2 Al 2.79
6 Pd 0.5000 0.0000 0.7483  2 Mo 2.77, 8 Pd 2.77-2.79, 2 Al 2.79
7 Pd 0.0000 0.5000 0.2517  8 Pd 2.77-2.79, 2 Mo 2.77, 2 Al 2.79
8 Pd 0.0000 0.5000 0.7483  2 Mo 2.77, 8 Pd 2.77-2.79, 2 Al 2.79